Entry from the Alexandria database: K4IrS5 after structural relaxation (PBE).

Output
energy relative to the elements, uncorrected	-14.554	kcal/mol of atoms
final energy	-40.2	eV per cell
symmetry	I4

Cell: 6.2723 7.6151 7.6151 Å, 80.24 65.68 65.68°
With the nearest neighbours (Å) after each atom.
Element x y z (fractional)
1 K 0.3910 0.4015 0.8151  5 S 3.09-3.25
2 K 0.7925 0.8151 0.5985  5 S 3.09-3.25
3 K 0.2061 0.1849 0.4015  5 S 3.09-3.25
4 K 0.6076 0.5985 0.1849  5 S 3.09-3.25
5 Ir 0.0879 0.0000 0.0000  5 S 2.20-2.35
6 S 0.9301 0.2889 0.8442  1 Ir 2.35
7 S 0.2190 0.8442 0.7111  1 Ir 2.35
8 S 0.7744 0.1558 0.2889  1 Ir 2.35
9 S 0.0633 0.7111 0.1558  1 Ir 2.35
10 S 0.4385 0.0000 0.0000  1 Ir 2.20